--- w ---
CePm12Y7 | PBE | relaxed Values from VASP.

```
&SYSTEM
  ibrav = 0, nat = 20, ntyp = 3
/
ATOMIC_SPECIES
Y 88.91 Y.upf
Pm 145.00 Pm.upf
Ce 140.12 Ce.upf
CELL_PARAMETERS angstrom
-8.219 2.624 -2.104
2.627 -2.959 -7.951
-1.929 -7.771 3.842
ATOMIC_POSITIONS angstrom
Y -3.283 -0.509 -1.475
Pm -0.755 -6.531 0.804
Pm -3.624 -1.436 -5.353
Ce 0.000 0.000 0.000
Pm -3.897 -6.669 -0.860
Y -7.100 -6.124 -3.194
Y -0.422 -1.981 -3.018
Pm -0.923 -8.051 -5.641
Pm -7.353 -6.585 0.231
Pm -0.895 -5.947 -2.772
Pm -1.920 -4.582 -5.978
Pm -0.168 -1.520 -6.444
Y -1.623 -3.251 0.093
Y -5.899 -4.854 -6.306
Y -3.761 -4.053 -3.106
Pm -5.602 -3.524 -0.235
Y -4.238 -7.597 -4.737
Pm -6.627 -2.158 -3.441
Pm -6.598 -0.054 -0.572
Pm -6.766 -1.575 -7.016
```

***

--- x ---
CePm12Y7 | PBE | relaxed Values from VASP.

```
&SYSTEM
  ibrav = 0, nat = 20, ntyp = 3
/
ATOMIC_SPECIES
Y 88.91 Y.upf
Ce 140.12 Ce.upf
Pm 145.00 Pm.upf
CELL_PARAMETERS angstrom
6.557 0.000 1.897
-3.693 9.392 4.576
-0.829 0.000 11.050
ATOMIC_POSITIONS angstrom
Y 0.647 2.819 11.331
Y -2.954 8.103 7.405
Ce 0.000 0.000 0.000
Pm -1.799 5.385 5.137
Y 1.389 6.572 6.192
Y 4.990 1.288 10.119
Y 3.279 0.000 0.949
Pm 1.102 7.378 13.647
Pm -0.930 4.897 13.232
Pm 0.001 7.399 9.264
Pm -0.434 4.289 7.855
Pm 4.594 0.609 6.850
Pm -2.558 8.783 10.673
Pm 0.934 2.014 3.876
Pm 2.470 5.103 9.669
Y 4.461 1.531 3.760
Y -2.426 7.861 13.764
Pm 2.035 1.993 8.259
Pm 2.966 4.495 4.291
Pm 3.835 4.007 12.386
```

***

Stability, lowest: x

***

--- w ---
CePmY6 | PBE | relaxed Values from VASP.

```
&SYSTEM
  ibrav = 0, nat = 8, ntyp = 3
/
ATOMIC_SPECIES
Y 88.91 Y.upf
Pm 145.00 Pm.upf
Ce 140.12 Ce.upf
CELL_PARAMETERS angstrom
-2.946 -5.807 1.325
2.459 -2.529 -5.545
2.218 -3.327 6.373
ATOMIC_POSITIONS angstrom
Y 1.379 -6.873 -0.168
Y 0.351 -4.790 2.321
Pm 0.000 0.000 0.000
Y 2.590 -3.869 -0.991
Y -0.860 -7.793 3.144
Ce 1.229 -1.265 -2.772
Y 0.370 -4.800 -3.488
Y 1.361 -6.863 5.641
```

***

--- x ---
CePmY6 | PBE | relaxed Values from VASP.

```
&SYSTEM
  ibrav = 0, nat = 8, ntyp = 3
/
ATOMIC_SPECIES
Y 88.91 Y.upf
Pm 145.00 Pm.upf
Ce 140.12 Ce.upf
CELL_PARAMETERS angstrom
5.065 0.000 0.000
0.000 5.065 0.000
0.000 0.000 10.123
ATOMIC_POSITIONS angstrom
Y 2.532 0.000 7.562
Pm 0.000 0.000 0.000
Y 2.532 2.532 0.000
Y 2.532 0.000 2.561
Y 0.000 2.532 7.562
Y 2.532 2.532 5.061
Ce 0.000 0.000 5.061
Y 0.000 2.532 2.561
```

***

Stability, lowest: w